Entry 1:
## AcSnPb2 (PBE)

Data for a relaxed structure of AcSnPb2.

The structure in POSCAR format:
```
AcSnPb2
1.0
5.002 0.000 0.000
0.000 5.002 0.000
0.000 0.000 5.045
Ac Sn Pb
1 1 2
direct
0.000 0.000 0.000
0.500 0.500 0.000
0.000 0.500 0.500
0.500 0.000 0.500
```

Calculated total energy, eV/atom: -4.319
Spin magnetization, μB/cell: 0.00
Formation enthalpy at 0 K, eV per atom: -0.44
Excess energy over the best structure of this formula in the dataset, eV per formula unit: 0.000

Entry 2:
## LaNd2Tm (PBE)

Data for a relaxed structure of LaNd2Tm.

The structure in POSCAR format:
```
LaNd2Tm
1.0
6.073 -1.829 0.000
6.073 1.829 0.000
-1.093 0.000 6.186
La Nd Tm
1 2 1
direct
0.000 0.000 0.000
0.247 0.247 0.748
0.753 0.753 0.252
0.500 0.500 0.500
```

Calculated total energy, eV/atom: -4.714
Spin magnetization, μB/cell: 0.00
Formation enthalpy at 0 K, eV per atom: 0.02
Excess energy over the best structure of this formula in the dataset, eV per formula unit: 0.015

Entry 3:
## ThPaCl2 (PBE)

Data for a relaxed structure of ThPaCl2.

The structure in POSCAR format:
```
ThPaCl2
1.0
1.704 0.984 10.098
-1.704 0.984 10.098
0.000 -1.967 10.098
Th Pa Cl
1 1 2
direct
0.000 0.000 0.000
0.500 0.500 0.500
0.404 0.404 0.404
0.596 0.596 0.596
```

Calculated total energy, eV/atom: -6.079
Spin magnetization, μB/cell: 0.57
Formation energy from raw total energies, eV per formula unit: -3.71

Entry 4:
## HoSc3Co (PBE)

Data for a relaxed structure of HoSc3Co.

The structure in POSCAR format:
```
HoSc3Co
1.0
6.147 -1.767 0.000
6.147 1.767 0.000
-0.488 0.000 10.436
Ho Sc Co
2 6 2
direct
0.151 0.151 0.086
0.849 0.849 0.914
0.061 0.061 0.373
0.224 0.224 0.636
0.425 0.425 0.175
0.575 0.575 0.825
0.776 0.776 0.364
0.939 0.939 0.627
0.410 0.410 0.439
0.590 0.590 0.561
```

Calculated total energy, eV/atom: -6.257
Spin magnetization, μB/cell: 0.00
Formation enthalpy at 0 K, eV per atom: -0.12
Excess energy over the best structure of this formula in the dataset, eV per formula unit: 0.000

Entry 5:
## Ac2MgAg7 (PBE)

Data for a relaxed structure of Ac2MgAg7.

The structure in POSCAR format:
```
Ac2MgAg7
1.0
4.301 0.000 0.000
0.000 4.301 0.000
0.000 0.000 13.068
Ac Mg Ag
2 1 7
direct
0.000 0.500 0.241
0.500 0.000 0.759
0.000 0.000 0.500
0.000 0.000 0.000
0.000 0.500 0.644
0.000 0.500 0.859
0.500 0.000 0.141
0.500 0.000 0.356
0.500 0.500 0.000
0.500 0.500 0.500
```

Calculated total energy, eV/atom: -3.173
Spin magnetization, μB/cell: 0.00
Formation enthalpy at 0 K, eV per atom: -0.20

Entry 6:
## LuFeC (PBE)

Data for a relaxed structure of LuFeC.

The structure in POSCAR format:
```
LuFeC
1.0
-1.413 1.413 4.569
1.413 -1.413 4.569
1.413 1.413 -4.569
Lu Fe C
1 1 1
direct
0.000 0.000 0.000
0.277 0.277 0.000
0.699 0.699 0.000
```

Calculated total energy, eV/atom: -6.998
Spin magnetization, μB/cell: 0.63
Formation enthalpy at 0 K, eV per atom: 0.40
Excess energy over the best structure of this formula in the dataset, eV per formula unit: 1.416

Entry 7:
## Ir6RuRh2 (PBE)

Data for a relaxed structure of Ir6RuRh2.

The structure in POSCAR format:
```
Ir6RuRh2
1.0
2.733 0.000 0.000
-1.366 2.367 0.000
0.000 0.000 20.265
Ir Ru Rh
6 1 2
direct
0.000 0.000 0.061
0.000 0.000 0.282
0.000 0.000 0.718
0.000 0.000 0.939
0.333 0.667 0.393
0.333 0.667 0.607
0.000 0.000 0.500
0.333 0.667 0.170
0.333 0.667 0.830
```

Calculated total energy, eV/atom: -8.508
Spin magnetization, μB/cell: 0.00
Formation enthalpy at 0 K, eV per atom: 0.06
Excess energy over the best structure of this formula in the dataset, eV per formula unit: 0.000

Entry 8:
## LiSm2Cd (PBE)

Data for a relaxed structure of LiSm2Cd.

The structure in POSCAR format:
```
LiSm2Cd
1.0
5.304 0.000 0.000
0.000 5.304 0.000
0.000 0.000 3.879
Li Sm Cd
1 2 1
direct
0.000 0.000 0.000
0.000 0.500 0.500
0.500 0.000 0.500
0.500 0.500 0.000
```

Calculated total energy, eV/atom: -3.188
Spin magnetization, μB/cell: 0.00
Formation enthalpy at 0 K, eV per atom: -0.12
Excess energy over the best structure of this formula in the dataset, eV per formula unit: 0.000

Entry 9:
## La15Dy4Al (PBE)

Data for a relaxed structure of La15Dy4Al.

The structure in POSCAR format:
```
La15Dy4Al
1.0
5.152 0.000 0.000
0.000 5.152 0.000
0.000 0.000 25.924
La Dy Al
15 4 1
direct
0.000 0.000 0.000
0.000 0.000 0.197
0.000 0.000 0.398
0.000 0.000 0.602
0.000 0.000 0.803
0.000 0.500 0.094
0.000 0.500 0.297
0.000 0.500 0.500
0.000 0.500 0.703
0.000 0.500 0.906
0.500 0.000 0.094
0.500 0.000 0.297
0.500 0.000 0.500
0.500 0.000 0.703
0.500 0.000 0.906
0.500 0.500 0.196
0.500 0.500 0.399
0.500 0.500 0.601
0.500 0.500 0.804
0.500 0.500 0.000
```

Calculated total energy, eV/atom: -4.823
Spin magnetization, μB/cell: 0.00
Formation enthalpy at 0 K, eV per atom: -0.02

Entry 10:
## LiPtRh2 (PBE)

Data for a relaxed structure of LiPtRh2.

The structure in POSCAR format:
```
LiPtRh2
1.0
1.378 -2.326 0.000
1.378 2.326 0.000
0.000 0.000 9.071
Li Pt Rh
1 1 2
direct
0.000 0.000 0.000
0.000 0.000 0.500
0.500 0.500 0.242
0.500 0.500 0.758
```

Calculated total energy, eV/atom: -5.606
Spin magnetization, μB/cell: 0.00
Formation enthalpy at 0 K, eV per atom: 0.06
Excess energy over the best structure of this formula in the dataset, eV per formula unit: 1.273

Entry 11:
## Ta2V2Br7 (PBE)

Data for a relaxed structure of Ta2V2Br7.

The structure in POSCAR format:
```
Ta2V2Br7
1.0
5.526 -4.252 0.000
5.526 4.252 0.000
-0.084 0.000 13.323
Ta V Br
4 4 14
direct
0.005 0.296 0.007
0.296 0.005 0.507
0.704 0.995 0.493
0.995 0.704 0.993
0.002 0.601 0.168
0.399 0.998 0.332
0.601 0.002 0.668
0.998 0.399 0.832
0.062 0.768 0.553
0.231 0.248 0.183
0.232 0.938 0.947
0.248 0.231 0.683
0.282 0.718 0.250
0.302 0.428 0.931
0.428 0.302 0.431
0.572 0.698 0.569
0.698 0.572 0.069
0.718 0.282 0.750
0.752 0.769 0.317
0.768 0.062 0.053
0.769 0.752 0.817
0.938 0.232 0.447
```

Calculated total energy, eV/atom: -5.303
Spin magnetization, μB/cell: 6.07
Formation energy from raw total energies, eV per formula unit: -4.68

Entry 12:
## K3SrMn2Cl9 (PBE)

Data for a relaxed structure of K3SrMn2Cl9.

The structure in POSCAR format:
```
K3SrMn2Cl9
1.0
7.312 0.000 0.000
-3.656 6.333 0.000
0.000 0.000 9.516
K Sr Mn Cl
3 1 2 9
direct
0.000 0.000 0.000
0.333 0.667 0.735
0.667 0.333 0.265
0.000 0.000 0.500
0.333 0.667 0.161
0.667 0.333 0.839
0.000 0.500 0.000
0.171 0.342 0.306
0.171 0.829 0.306
0.342 0.171 0.694
0.500 0.000 0.000
0.500 0.500 0.000
0.658 0.829 0.306
0.829 0.171 0.694
0.829 0.658 0.694
```

Calculated total energy, eV/atom: -4.349
Spin magnetization, μB/cell: 10.00
Formation energy from raw total energies, eV per formula unit: -25.30